Entry 1:
# PBE-GGA Be2SbW, relaxed
# - SG = Cm (8)
# - VASP energy (Ha/atom) = -0.2041
data_Be2SbW
_cell_length_a 5.049
_cell_length_b 5.049
_cell_length_c 4.442
_cell_angle_alpha 86.08
_cell_angle_beta 86.08
_cell_angle_gamma 32.14
_symmetry_space_group_name_H-M 'P 1'
_symmetry_Int_Tables_number 1
_symmetry_space_group_name_Hall 'P 1'
loop_
_atom_site_label
_atom_site_fract_x
_atom_site_fract_y
_atom_site_fract_z
Be1 0.035 0.035 0.991
Be2 0.244 0.244 0.241
W1 0.740 0.740 0.762
Sb1 0.481 0.481 0.506

=====

Entry 2:
# PBE-GGA La7Sm3In, relaxed
# - SG = P3m1 (156)
# - ΔE_f (kJ per mole of atoms) = 7
# - VASP energy (Ha/atom) = -0.1691
data_La7Sm3In
_cell_length_a 8.764
_cell_length_b 7.205
_cell_length_c 7.205
_cell_angle_alpha 120.00
_cell_angle_beta 90.00
_cell_angle_gamma 90.00
_symmetry_space_group_name_H-M 'P 1'
_symmetry_Int_Tables_number 1
_symmetry_space_group_name_Hall 'P 1'
loop_
_atom_site_label
_atom_site_fract_x
_atom_site_fract_y
_atom_site_fract_z
La1 0.120 0.171 0.341
La2 0.120 0.171 0.829
La3 0.449 0.831 0.169
La4 0.449 0.337 0.169
La5 0.449 0.831 0.663
La6 0.120 0.659 0.829
La7 0.111 0.667 0.333
Sm1 0.779 0.500 0.001
Sm2 0.779 0.999 0.500
Sm3 0.779 0.500 0.500
In1 0.459 0.333 0.667

=====

Entry 3:
# PBE-GGA Nd4DyTm6, relaxed
# - SG = I-42m (121)
# - ΔE_f (kJ per mole of atoms) = 45
# - VASP energy (Ha/atom) = -0.1514
# - excess energy over the best structure of this formula in the dataset (meV per atom) = 174
data_Nd4DyTm6
_cell_length_a 7.679
_cell_length_b 7.679
_cell_length_c 8.486
_cell_angle_alpha 116.90
_cell_angle_beta 116.90
_cell_angle_gamma 90.00
_symmetry_space_group_name_H-M 'P 1'
_symmetry_Int_Tables_number 1
_symmetry_space_group_name_Hall 'P 1'
loop_
_atom_site_label
_atom_site_fract_x
_atom_site_fract_y
_atom_site_fract_z
Nd1 0.099 0.747 0.846
Nd2 0.747 0.099 0.846
Nd3 0.253 0.253 0.154
Nd4 0.901 0.901 0.154
Dy1 0.500 0.500 0.000
Tm1 0.563 0.563 0.638
Tm2 0.000 0.500 0.000
Tm3 0.075 0.075 0.638
Tm4 0.925 0.437 0.362
Tm5 0.500 0.000 0.000
Tm6 0.437 0.925 0.362

=====

Entry 4:
# PBE-GGA Tb5Dy4Sc, relaxed
# - SG = I4mm (107)
# - ΔE_f (kJ per mole of atoms) = 23
# - VASP energy (Ha/atom) = -0.1673
# - excess energy over the best structure of this formula in the dataset (meV per atom) = 126
data_Tb5Dy4Sc
_cell_length_a 5.775
_cell_length_b 7.992
_cell_length_c 7.992
_cell_angle_alpha 82.50
_cell_angle_beta 68.82
_cell_angle_gamma 68.82
_symmetry_space_group_name_H-M 'P 1'
_symmetry_Int_Tables_number 1
_symmetry_space_group_name_Hall 'P 1'
loop_
_atom_site_label
_atom_site_fract_x
_atom_site_fract_y
_atom_site_fract_z
Tb1 0.774 0.000 0.373
Tb2 0.147 0.627 0.000
Tb3 0.674 0.000 0.000
Tb4 0.147 0.000 0.627
Tb5 0.773 0.373 0.000
Dy1 0.447 0.323 0.677
Dy2 0.771 0.677 0.677
Dy3 0.124 0.323 0.323
Dy4 0.447 0.677 0.323
Sc1 0.206 0.000 0.000

=====

Entry 5:
# PBE-GGA Ca2Zn4CuAu3, relaxed
# - SG = P-4m2 (115)
# - ΔE_f (kJ per mole of atoms) = -40
# - VASP energy (Ha/atom) = -0.0998
data_Ca2Zn4CuAu3
_cell_length_a 4.356
_cell_length_b 4.356
_cell_length_c 10.698
_cell_angle_alpha 90.00
_cell_angle_beta 90.00
_cell_angle_gamma 90.00
_symmetry_space_group_name_H-M 'P 1'
_symmetry_Int_Tables_number 1
_symmetry_space_group_name_Hall 'P 1'
loop_
_atom_site_label
_atom_site_fract_x
_atom_site_fract_y
_atom_site_fract_z
Au1 0.000 0.500 0.139
Au2 0.000 0.000 0.500
Au3 0.500 0.000 0.861
Zn1 0.000 0.500 0.376
Zn2 0.500 0.000 0.624
Zn3 0.000 0.000 0.000
Zn4 0.500 0.500 0.000
Ca1 0.000 0.500 0.744
Ca2 0.500 0.000 0.256
Cu1 0.500 0.500 0.500

=====

Entry 6:
# PBE-GGA NdThCoCl, relaxed
# - SG = R3m (160)
# - VASP energy (Ha/atom) = -0.2244
data_NdThCoCl
_cell_length_a 3.996
_cell_length_b 3.996
_cell_length_c 7.980
_cell_angle_alpha 89.98
_cell_angle_beta 104.50
_cell_angle_gamma 120.05
_symmetry_space_group_name_H-M 'P 1'
_symmetry_Int_Tables_number 1
_symmetry_space_group_name_Hall 'P 1'
loop_
_atom_site_label
_atom_site_fract_x
_atom_site_fract_y
_atom_site_fract_z
Cl1 0.969 0.382 0.366
Nd1 0.504 0.150 0.669
Co1 0.313 0.555 0.883
Th1 0.092 0.944 0.051

=====

Entry 7:
# PBE-GGA Er2CuPt9, relaxed
# - SG = P4/mmm (123)
# - ΔE_f (kJ per mole of atoms) = -70
# - VASP energy (Ha/atom) = -0.2336
data_Er2CuPt9
_cell_length_a 4.065
_cell_length_b 4.065
_cell_length_c 11.992
_cell_angle_alpha 90.00
_cell_angle_beta 90.00
_cell_angle_gamma 90.00
_symmetry_space_group_name_H-M 'P 1'
_symmetry_Int_Tables_number 1
_symmetry_space_group_name_Hall 'P 1'
loop_
_atom_site_label
_atom_site_fract_x
_atom_site_fract_y
_atom_site_fract_z
Pt1 0.500 0.500 0.673
Pt2 0.000 0.500 0.846
Pt3 0.000 0.500 0.500
Pt4 0.500 0.000 0.500
Pt5 0.500 0.500 0.000
Pt6 0.000 0.500 0.154
Pt7 0.500 0.000 0.846
Pt8 0.500 0.500 0.327
Pt9 0.500 0.000 0.154
Er1 0.000 0.000 0.673
Er2 0.000 0.000 0.327
Cu1 0.000 0.000 0.000

=====

Entry 8:
# PBE-GGA HoTmCdGa, relaxed
# - SG = F-43m (216)
# - ΔE_f (kJ per mole of atoms) = -42
# - VASP energy (Ha/atom) = -0.1352
# - excess energy over the best structure of this formula in the dataset (meV per atom) = 21
data_HoTmCdGa
_cell_length_a 5.131
_cell_length_b 5.131
_cell_length_c 5.131
_cell_angle_alpha 60.00
_cell_angle_beta 60.00
_cell_angle_gamma 60.00
_symmetry_space_group_name_H-M 'P 1'
_symmetry_Int_Tables_number 1
_symmetry_space_group_name_Hall 'P 1'
loop_
_atom_site_label
_atom_site_fract_x
_atom_site_fract_y
_atom_site_fract_z
Ho1 0.500 0.500 0.500
Tm1 0.000 0.000 0.000
Ga1 0.250 0.250 0.250
Cd1 0.750 0.750 0.750

=====

Entry 9:
# PBE-GGA LaMg2W, relaxed
# - SG = F-43m (216)
# - ΔE_f (kJ per mole of atoms) = 63
# - VASP energy (Ha/atom) = -0.1694
# - excess energy over the best structure of this formula in the dataset (meV per atom) = 267
data_LaMg2W
_cell_length_a 5.053
_cell_length_b 5.053
_cell_length_c 5.053
_cell_angle_alpha 60.00
_cell_angle_beta 60.00
_cell_angle_gamma 60.00
_symmetry_space_group_name_H-M 'P 1'
_symmetry_Int_Tables_number 1
_symmetry_space_group_name_Hall 'P 1'
loop_
_atom_site_label
_atom_site_fract_x
_atom_site_fract_y
_atom_site_fract_z
La1 0.500 0.500 0.500
W1 0.750 0.750 0.750
Mg1 0.250 0.250 0.250
Mg2 0.000 0.000 0.000

=====

Entry 10:
# PBE-GGA LiFe2S4, relaxed
# - SG = Fd-3m (227)
# - VASP energy (Ha/atom) = -0.2043
data_LiFe2S4
_cell_length_a 6.865
_cell_length_b 6.865
_cell_length_c 6.865
_cell_angle_alpha 60.00
_cell_angle_beta 60.00
_cell_angle_gamma 60.00
_symmetry_space_group_name_H-M 'P 1'
_symmetry_Int_Tables_number 1
_symmetry_space_group_name_Hall 'P 1'
loop_
_atom_site_label
_atom_site_fract_x
_atom_site_fract_y
_atom_site_fract_z
Li1 0.000 0.000 0.000
Li2 0.250 0.250 0.250
Fe1 0.625 0.125 0.625
Fe2 0.625 0.625 0.125
Fe3 0.625 0.625 0.625
Fe4 0.125 0.625 0.625
S1 0.417 0.861 0.861
S2 0.861 0.861 0.861
S3 0.389 0.389 0.833
S4 0.833 0.389 0.389
S5 0.389 0.389 0.389
S6 0.389 0.833 0.389
S7 0.861 0.861 0.417
S8 0.861 0.417 0.861

=====

Entry 11:
# PBE-GGA Rb2BeGaPb, relaxed
# - SG = P4/mmm (123)
# - ΔE_f (kJ per mole of atoms) = 41
# - VASP energy (Ha/atom) = -0.0755
data_Rb2BeGaPb
_cell_length_a 6.631
_cell_length_b 4.566
_cell_length_c 6.631
_cell_angle_alpha 90.00
_cell_angle_beta 90.00
_cell_angle_gamma 90.00
_symmetry_space_group_name_H-M 'P 1'
_symmetry_Int_Tables_number 1
_symmetry_space_group_name_Hall 'P 1'
loop_
_atom_site_label
_atom_site_fract_x
_atom_site_fract_y
_atom_site_fract_z
Rb1 0.000 0.000 0.500
Rb2 0.500 0.000 0.000
Pb1 0.000 0.500 0.000
Be1 0.000 0.000 0.000
Ga1 0.500 0.500 0.500

=====

Entry 12:
# PBE-GGA Ta2BH, relaxed
# - SG = I-42d (122)
# - VASP energy (Ha/atom) = -0.3129
# - excess energy over the best structure of this formula in the dataset (meV per atom) = 199
data_Ta2BH
_cell_length_a 5.704
_cell_length_b 5.704
_cell_length_c 4.920
_cell_angle_alpha 54.57
_cell_angle_beta 54.57
_cell_angle_gamma 90.00
_symmetry_space_group_name_H-M 'P 1'
_symmetry_Int_Tables_number 1
_symmetry_space_group_name_Hall 'P 1'
loop_
_atom_site_label
_atom_site_fract_x
_atom_site_fract_y
_atom_site_fract_z
Ta1 0.875 0.835 0.750
Ta2 0.375 0.415 0.750
Ta3 0.585 0.125 0.250
Ta4 0.165 0.625 0.250
H1 0.500 0.500 0.000
H2 0.250 0.750 0.500
B1 0.000 0.000 0.000
B2 0.750 0.250 0.500